<a>
## ScAgRh (PBE-GGA)

Data for a geometry-optimized ScAgRh structure.

It has space group P3m1 (No. 156), with a = 4.4686 Å, b = 4.4686 Å, c = 3.0198 Å, α = 90.00°, β = 90.00° and γ = 120.00°. The inequivalent atoms are Sc at (0.0000, 0.0000, 0.0000), Ag at (0.6667, 0.3333, 0.3705) and Rh at (0.3333, 0.6667, 0.7459).

The volume comes out at 52 Å³/cell.

***

<b>
## ScAgRh (PBE-GGA)

Data for a geometry-optimized ScAgRh structure.

It has space group F-43m (No. 216), with a = 6.267 Å, b = 6.267 Å, c = 6.267 Å, α = 90.00°, β = 90.00° and γ = 90.00°. The inequivalent atoms are Sc at (0.000, 0.000, 0.000), Ag at (0.000, 0.000, 0.500) and Rh at (0.250, 0.250, 0.750).

The volume comes out at 246 Å³/cell.

***

<c>
## ScAgRh (PBE-GGA)

Data for a geometry-optimized ScAgRh structure.

It has space group I4/mmm (No. 139), with a = 3.334 Å, b = 3.334 Å, c = 20.446 Å, α = 90.00°, β = 90.00° and γ = 90.00°. The inequivalent atoms are Sc at (0.000, 0.000, 0.119), Ag at (0.000, 0.000, 0.290) and Rh at (0.000, 0.000, 0.437).

The volume comes out at 227 Å³/cell.

***

Q: Which of them is the least stable? A: <b>.

***

<a>
## Sc2AgRh2 (PBE-GGA)

Data for a geometry-optimized Sc2AgRh2 structure.

It has space group P4/mbm (No. 127), with a = 7.449 Å, b = 7.449 Å, c = 3.210 Å, α = 90.00°, β = 90.00° and γ = 90.00°. The inequivalent atoms are Sc at (0.161, 0.339, 0.000), Ag at (0.000, 0.000, 0.500) and Rh at (0.138, 0.638, 0.500).

The volume comes out at 178 Å³/cell.

***

<b>
## Sc2AgRh2 (PBE-GGA)

Data for a geometry-optimized Sc2AgRh2 structure.

It has space group P4/mbm (No. 127), with a = 7.678 Å, b = 7.678 Å, c = 3.045 Å, α = 90.00°, β = 90.00° and γ = 90.00°. The inequivalent atoms are Sc at (0.149, 0.351, 0.000), Ag at (0.000, 0.000, 0.000) and Rh at (0.148, 0.648, 0.500).

The volume comes out at 179 Å³/cell.

***

Q: Which of them is the least stable? A: <b>.